PaGa4Pd (GGA-PBE, optimized geometry); SG = No. 63; spin magnetization = 0.000 μB per formula unit; D(E_F) = 5.590 states/eV/f.u.; formation enthalpy at 0 K = -0.4363 eV/atom; V = 111.2 Å³/f.u.
1.0
2.116 -8.065 0.000
2.116 8.065 0.000
0.000 0.000 6.516
Pa Ga Pd
2 8 2
Direct
0.109 0.891 0.750 Pa
0.891 0.109 0.250 Pa
0.068 0.932 0.250 Ga
0.321 0.679 0.543 Ga
0.321 0.679 0.957 Ga
0.500 0.500 0.000 Ga
0.500 0.500 0.500 Ga
0.679 0.321 0.043 Ga
0.679 0.321 0.457 Ga
0.932 0.068 0.750 Ga
0.220 0.780 0.250 Pd
0.780 0.220 0.750 Pd